{
  "formula": "Mg2GaGe",
  "functional": "PBE",
  "state": "optimized geometry",
  "m_tot_mub_per_cell": 0.0,
  "delta_e_f_ev_per_atom": -0.122,
  "cell": [[-3.399, -1.468, 0.992], [1.729, -1.352, 3.922], [-1.152, 3.925, 1.861]],
  "species": ["Ge", "Mg", "Mg", "Ga"],
  "frac_coords": [[0.500, 0.000, 0.000], [0.000, 0.000, 0.500], [0.000, 0.500, 0.000], [0.500, 0.500, 0.500]]
}


{
  "formula": "CdGa2Pb",
  "functional": "PBE",
  "state": "optimized geometry",
  "m_tot_mub_per_cell": 0.0,
  "polymorph_energy_ev_per_atom": 0.028,
  "delta_e_f_ev_per_atom": 0.103,
  "cell": [[-0.613, -3.182, 1.142], [-0.313, -2.595, -2.230], [9.006, -3.523, 0.190]],
  "species": ["Cd", "Ga", "Ga", "Pb"],
  "frac_coords": [[0.667, 0.667, 0.000], [0.078, 0.078, 0.766], [0.256, 0.256, 0.233], [0.500, 0.500, 0.501]]
}


{
  "formula": "CoOs",
  "functional": "PBE",
  "state": "optimized geometry",
  "m_tot_mub_per_cell": 0.0,
  "delta_e_f_ev_per_atom": 1.162,
  "cell": [[10.793, 0.000, 0.000], [0.000, 10.793, 0.000], [0.000, 0.000, 2.527]],
  "species": ["Co", "Co", "Co", "Co", "Co", "Co", "Co", "Co", "Os", "Os", "Os", "Os", "Os", "Os", "Os", "Os"],
  "frac_coords": [[0.399, 0.766, 0.000], [0.601, 0.234, 0.000], [0.234, 0.399, 0.000], [0.766, 0.601, 0.000], [0.899, 0.266, 0.500], [0.101, 0.734, 0.500], [0.734, 0.899, 0.500], [0.266, 0.101, 0.500], [0.385, 0.249, 0.000], [0.615, 0.751, 0.000], [0.751, 0.385, 0.000], [0.249, 0.615, 0.000], [0.885, 0.749, 0.500], [0.115, 0.251, 0.500], [0.251, 0.885, 0.500], [0.749, 0.115, 0.500]]
}


{
  "formula": "Sm2GaBi",
  "functional": "PBE",
  "state": "optimized geometry",
  "m_tot_mub_per_cell": 0.0,
  "polymorph_energy_ev_per_atom": 0.000,
  "delta_e_f_ev_per_atom": -0.710,
  "cell": [[4.365, 0.000, 0.000], [0.000, 4.485, -0.797], [0.000, -0.140, 12.237]],
  "species": ["Sm", "Sm", "Sm", "Sm", "Ga", "Ga", "Bi", "Bi"],
  "frac_coords": [[0.750, 0.676, 0.352], [0.250, 0.324, 0.648], [0.750, 0.941, 0.882], [0.250, 0.059, 0.118], [0.250, 0.465, 0.929], [0.750, 0.535, 0.071], [0.250, 0.190, 0.380], [0.750, 0.810, 0.620]]
}


{
  "formula": "Cs2NaHgF6",
  "functional": "PBE",
  "state": "optimized geometry",
  "m_tot_mub_per_cell": 1.0,
  "formation_energy_uncorrected_ev_per_fu": -21.70,
  "cell": [[6.481, 0.000, 0.000], [0.000, 6.481, 0.000], [3.240, 3.240, 4.580]],
  "species": ["Cs", "Cs", "Na", "Hg", "F", "F", "F", "F", "F", "F"],
  "frac_coords": [[0.750, 0.250, 0.500], [0.250, 0.750, 0.500], [0.500, 0.500, 0.000], [0.000, 0.000, 0.000], [0.244, 0.244, 0.513], [0.756, 0.756, 0.487], [0.244, 0.244, 0.000], [0.756, 0.756, 0.000], [0.756, 0.244, 0.000], [0.244, 0.756, 0.000]]
}


{
  "formula": "NaTlGe",
  "functional": "PBE",
  "state": "optimized geometry",
  "m_tot_mub_per_cell": 0.0,
  "delta_e_f_ev_per_atom": 0.008,
  "cell": [[7.686, 0.000, 0.036], [0.000, 4.037, 0.000], [-1.337, 0.000, 5.389]],
  "species": ["Na", "Na", "Tl", "Tl", "Ge", "Ge"],
  "frac_coords": [[0.301, 0.500, 0.183], [0.881, 0.500, 0.632], [0.208, 0.000, 0.639], [0.802, 0.000, 0.118], [0.528, 0.500, 0.800], [0.565, 0.000, 0.521]]
}